[1]
ThBe2GaPd5 | PBE | relaxed

a b c (Å): 4.436 4.436 7.214
angles (deg): 90.00 90.00 90.00
Element x y z (fractional)
Pd1 0.500 0.000 0.209
Pd2 0.500 0.000 0.791
Pd3 0.000 0.500 0.209
Pd4 0.000 0.500 0.791
Pd5 0.500 0.500 0.500
Be1 0.500 0.500 0.161
Be2 0.500 0.500 0.839
Th1 0.000 0.000 0.500
Ga1 0.000 0.000 0.000

Space-group type   P4/mmm
Calculated formation energy   -0.536 eV/atom
Volume   142 Å³/cell
Energy   -5.409 eV/atom
Magnetization   0.000 μB/atom



[2]
Th2BeGa4Pd3 | PBE | relaxed

a b c (Å): 4.290 4.290 10.242
angles (deg): 90.00 90.00 90.00
Element x y z (fractional)
Th1 0.000 0.500 0.742
Th2 0.500 0.000 0.258
Ga1 0.000 0.000 0.000
Ga2 0.500 0.500 0.000
Ga3 0.500 0.000 0.624
Ga4 0.000 0.500 0.376
Pd1 0.000 0.500 0.134
Pd2 0.000 0.000 0.500
Pd3 0.500 0.000 0.866
Be1 0.500 0.500 0.500

Space-group type   P-4m2
Calculated formation energy   -0.653 eV/atom
Volume   188 Å³/cell
Energy   -5.278 eV/atom
Magnetization   0.000 μB/atom



[3]
ThBe2GaPd2 | PBE | relaxed

a b c (Å): 4.179 4.179 5.778
angles (deg): 90.00 90.00 90.00
Element x y z (fractional)
Be1 0.500 0.000 0.000
Be2 0.000 0.500 0.000
Ga1 0.000 0.000 0.000
Th1 0.000 0.000 0.500
Pd1 0.500 0.500 0.748
Pd2 0.500 0.500 0.252

Space-group type   P4/mmm
Calculated formation energy   -0.177 eV/atom
Volume   101 Å³/cell
Energy   -4.891 eV/atom
Magnetization   0.000 μB/atom



[4]
TmBeGa2Pd4 | PBE | relaxed

a b c (Å): 4.345 4.345 8.143
angles (deg): 74.53 74.53 60.00
Element x y z (fractional)
Tm1 0.000 0.000 0.000
Pd1 0.133 0.133 0.601
Pd2 0.598 0.598 0.206
Pd3 0.867 0.867 0.399
Pd4 0.402 0.402 0.794
Ga1 0.754 0.754 0.739
Ga2 0.246 0.246 0.261
Be1 0.500 0.500 0.500

Space-group type   R-3m
Calculated formation energy   -0.695 eV/atom
Volume   127 Å³/cell
Energy   -5.073 eV/atom
Magnetization   0.000 μB/atom



[5]
BeVGa2Pd | PBE | relaxed

a b c (Å): 4.660 4.146 4.660
angles (deg): 90.00 90.00 90.00
Element x y z (fractional)
Be1 0.000 0.500 0.000
Pd1 0.000 0.000 0.000
Ga1 0.000 0.000 0.500
Ga2 0.500 0.000 0.000
V1 0.500 0.500 0.500

Space-group type   P4/mmm
Calculated formation energy   0.623 eV/atom
Volume   90 Å³/cell
Energy   -4.195 eV/atom
Magnetization   0.001 μB/atom



[6]
YBe2GaPd2 | PBE | relaxed

a b c (Å): 4.160 4.160 5.620
angles (deg): 90.00 90.00 90.00
Element x y z (fractional)
Be1 0.500 0.000 0.000
Be2 0.000 0.500 0.000
Pd1 0.500 0.500 0.750
Pd2 0.500 0.500 0.250
Y1 0.000 0.000 0.500
Ga1 0.000 0.000 0.000

Space-group type   P4/mmm
Calculated formation energy   -0.211 eV/atom
Volume   97 Å³/cell
Energy   -4.766 eV/atom
Magnetization   0.000 μB/atom



[7]
YBe2GaPd5 | PBE | relaxed

a b c (Å): 4.401 4.401 7.088
angles (deg): 90.00 90.00 90.00
Element x y z (fractional)
Pd1 0.500 0.000 0.211
Pd2 0.500 0.000 0.789
Pd3 0.500 0.500 0.500
Pd4 0.000 0.500 0.211
Pd5 0.000 0.500 0.789
Be1 0.500 0.500 0.164
Be2 0.500 0.500 0.836
Y1 0.000 0.000 0.500
Ga1 0.000 0.000 0.000

Space-group type   P4/mmm
Calculated formation energy   -0.564 eV/atom
Volume   137 Å³/cell
Energy   -5.332 eV/atom
Magnetization   0.000 μB/atom



[8]
Y3Be2GaPd9 | PBE | relaxed

a b c (Å): 5.877 5.877 9.012
angles (deg): 90.00 90.00 120.00
Element x y z (fractional)
Pd1 0.500 0.500 0.000
Pd2 0.000 0.500 0.000
Pd3 0.838 0.676 0.709
Pd4 0.162 0.324 0.291
Pd5 0.838 0.162 0.709
Pd6 0.676 0.838 0.291
Pd7 0.162 0.838 0.291
Pd8 0.500 0.000 0.000
Pd9 0.324 0.162 0.709
Ga1 0.000 0.000 0.500
Y1 0.000 0.000 0.000
Y2 0.667 0.333 0.326
Y3 0.333 0.667 0.674
Be1 0.667 0.333 0.848
Be2 0.333 0.667 0.152

Space-group type   P-3m1
Calculated formation energy   -0.675 eV/atom
Volume   270 Å³/cell
Energy   -5.782 eV/atom
Magnetization   0.000 μB/atom



[9]
Y2BeGaPd6 | PBE | relaxed

a b c (Å): 5.733 7.201 5.781
angles (deg): 64.57 60.71 89.92
Element x y z (fractional)
Y1 0.240 0.797 0.438
Y2 0.760 0.203 0.562
Pd1 0.694 0.657 0.509
Pd2 0.306 0.343 0.491
Pd3 0.180 0.669 0.024
Pd4 0.726 0.761 0.957
Pd5 0.820 0.331 0.976
Pd6 0.274 0.239 0.043
Be1 0.500 0.500 0.000
Ga1 0.000 0.000 0.000

Space-group type   P-1
Calculated formation energy   -0.684 eV/atom
Volume   181 Å³/cell
Energy   -5.768 eV/atom
Magnetization   0.000 μB/atom



[10]
YBeGa2Pd4 | PBE | relaxed

a b c (Å): 4.296 4.296 8.512
angles (deg): 75.38 75.38 60.00
Element x y z (fractional)
Ga1 0.756 0.756 0.733
Ga2 0.244 0.244 0.267
Pd1 0.406 0.406 0.782
Pd2 0.864 0.864 0.407
Pd3 0.136 0.136 0.593
Pd4 0.594 0.594 0.218
Y1 0.000 0.000 0.000
Be1 0.500 0.500 0.500

Space-group type   R-3m
Calculated formation energy   -0.703 eV/atom
Volume   130 Å³/cell
Energy   -5.330 eV/atom
Magnetization   0.000 μB/atom



[11]
Be2ZnGa2Pd5 | PBE | relaxed

a b c (Å): 3.334 9.159 9.159
angles (deg): 90.00 90.00 90.00
Element x y z (fractional)
Pd1 0.500 0.000 0.500
Pd2 0.500 0.800 0.911
Pd3 0.500 0.089 0.800
Pd4 0.500 0.700 0.411
Pd5 0.500 0.411 0.300
Pd6 0.500 0.911 0.200
Pd7 0.500 0.500 0.000
Pd8 0.500 0.200 0.089
Pd9 0.500 0.589 0.700
Pd10 0.500 0.300 0.589
Ga1 0.000 0.830 0.670
Ga2 0.000 0.170 0.330
Ga3 0.000 0.670 0.170
Ga4 0.000 0.330 0.830
Be1 0.000 0.872 0.372
Be2 0.000 0.372 0.128
Be3 0.000 0.128 0.628
Be4 0.000 0.628 0.872
Zn1 0.000 0.000 0.000
Zn2 0.000 0.500 0.500

Space-group type   P4/mbm
Calculated formation energy   -0.448 eV/atom
Volume   280 Å³/cell
Energy   -4.523 eV/atom
Magnetization   0.000 μB/atom



[12]
BeZnGaPd | PBE | relaxed

a b c (Å): 4.225 4.225 4.225
angles (deg): 60.00 60.00 60.00
Element x y z (fractional)
Pd1 0.250 0.250 0.250
Zn1 0.750 0.750 0.750
Be1 0.500 0.500 0.500
Ga1 0.000 0.000 0.000

Space-group type   F-43m
Calculated formation energy   -0.165 eV/atom
Volume   53 Å³/cell
Energy   -3.470 eV/atom
Magnetization   0.000 μB/atom



[13]
Pm2BeGa | PBE | relaxed

a b c (Å): 3.477 3.477 10.729
angles (deg): 80.67 80.67 60.00
Element x y z (fractional)
Pm1 0.095 0.095 0.716
Pm2 0.905 0.905 0.284
Be1 0.000 0.000 0.000
Ga1 0.500 0.500 0.500

Space-group type   R-3m
Energy above the lowest structure with this stoichiometry   2.80 eV/f.u.
Calculated formation energy   0.511 eV/atom
Volume   110 Å³/cell
Energy   -3.553 eV/atom
Magnetization   0.000 μB/atom



[14]
Pm3Be2Ga4 | PBE | relaxed

a b c (Å): 4.273 5.787 8.345
angles (deg): 104.37 90.00 111.67
Element x y z (fractional)
Ga1 0.928 0.856 0.612
Ga2 0.072 0.144 0.388
Ga3 0.279 0.558 0.931
Ga4 0.721 0.442 0.069
Pm1 0.000 0.000 0.000
Pm2 0.655 0.309 0.667
Pm3 0.345 0.691 0.333
Be1 0.628 0.255 0.293
Be2 0.372 0.745 0.707

Space-group type   C2/m
Calculated formation energy   -0.479 eV/atom
Volume   185 Å³/cell
Energy   -4.236 eV/atom
Magnetization   0.000 μB/atom



[15]
PmBeGa | PBE | relaxed

a b c (Å): 4.027 4.027 4.921
angles (deg): 114.15 114.15 90.00
Element x y z (fractional)
Pm1 0.284 0.284 0.567
Be1 0.927 0.927 0.854
Ga1 0.639 0.639 0.278

Space-group type   I4mm
Energy above the lowest structure with this stoichiometry   1.64 eV/f.u.
Calculated formation energy   0.198 eV/atom
Volume   65 Å³/cell
Energy   -3.637 eV/atom
Magnetization   0.000 μB/atom



[16]
Pm3BeGa3 | PBE | relaxed

a b c (Å): 4.134 4.349 9.592
angles (deg): 103.10 102.44 90.00
Element x y z (fractional)
Ga1 0.141 0.641 0.282
Ga2 0.868 0.368 0.736
Ga3 0.557 0.557 0.114
Pm1 0.684 0.184 0.369
Pm2 0.999 0.999 0.998
Pm3 0.319 0.819 0.637
Be1 0.432 0.432 0.865

Space-group type   Imm2
Calculated formation energy   -0.484 eV/atom
Volume   164 Å³/cell
Energy   -4.349 eV/atom
Magnetization   0.000 μB/atom



[17]
PmBeGa | PBE | relaxed

a b c (Å): 3.802 4.251 4.251
angles (deg): 120.00 90.00 90.00
Element x y z (fractional)
Pm1 0.667 0.333 0.667
Ga1 0.166 0.000 0.000
Be1 0.167 0.667 0.333

Space-group type   P-6m2
Energy above the lowest structure with this stoichiometry   0.00 eV/f.u.
Calculated formation energy   -0.348 eV/atom
Volume   59 Å³/cell
Energy   -4.183 eV/atom
Magnetization   0.000 μB/atom



[18]
PmBeGa2 | PBE | relaxed

a b c (Å): 4.042 4.042 5.840
angles (deg): 69.75 69.75 60.00
Element x y z (fractional)
Ga1 0.212 0.212 0.364
Ga2 0.788 0.788 0.636
Pm1 0.000 0.000 0.000
Be1 0.500 0.500 0.500

Space-group type   R-3m
Energy above the lowest structure with this stoichiometry   0.45 eV/f.u.
Calculated formation energy   -0.385 eV/atom
Volume   76 Å³/cell
Energy   -4.018 eV/atom
Magnetization   0.000 μB/atom



[19]
PmBeGa | PBE | relaxed

a b c (Å): 4.099 4.099 7.721
angles (deg): 105.39 105.39 90.00
Each line ends with the local moment (μB).
Element x y z (fractional)
Pm1 0.667 0.167 0.334  0.05
Pm2 0.417 0.417 0.834  0.05
Ga1 0.251 0.751 0.501  0.01
Ga2 0.001 0.001 0.001  0.01
Be1 0.832 0.832 0.665  0.01
Be2 0.082 0.582 0.165  0.01

Space-group type   I4_1md
Energy above the lowest structure with this stoichiometry   0.01 eV/f.u.
Calculated formation energy   -0.346 eV/atom
Volume   120 Å³/cell
Energy   -4.181 eV/atom
Magnetization   0.060 μB/atom



[20]
PmBe2Ga | PBE | relaxed

a b c (Å): 3.901 3.901 5.533
angles (deg): 69.36 69.36 60.00
Element x y z (fractional)
Pm1 0.000 0.000 0.000
Ga1 0.500 0.500 0.500
Be1 0.198 0.198 0.406
Be2 0.802 0.802 0.594

Space-group type   R-3m
Calculated formation energy   -0.196 eV/atom
Volume   67 Å³/cell
Energy   -4.003 eV/atom
Magnetization   0.000 μB/atom